1.
# Y2ScNi

A PBEsol-optimized structure of Y2ScNi (meta-GGA SCAN, Alexandria via LeMat-Bulk).

- Energy relative to the elements: 0.21 eV/atom
- Raw total energy: -21.3100 eV per atom
- Energy relative to the lowest polymorph listed for this composition: 38.3 kJ/mol of atoms
- Total moment: 1.3 μB per cell

Geometry as POSCAR:
```
Y2ScNi
1.0
-0.0697 0.8407 -4.9005
2.0690 -3.2779 -3.1146
-2.8757 -2.7760 -2.9582
Ni Sc Y
1 1 2
Direct
0.5000 0.5000 0.5000
0.2500 0.2500 0.2500
0.0000 0.0000 0.0000
0.7500 0.7500 0.7500
```

2.
# YSc3Ni

A PBEsol-optimized structure of YSc3Ni (meta-GGA SCAN, Alexandria via LeMat-Bulk).

- Energy relative to the elements: -0.11 eV/atom
- Raw total energy: -17.4580 eV per atom
- Total moment: 0.0 μB per cell

Geometry as POSCAR:
```
YSc3Ni
1.0
-0.6888 4.8574 -0.1299
-0.4051 0.0733 4.8904
4.8422 0.6971 0.3907
Y Ni Sc
1 1 3
Direct
0.5000 0.5000 0.5000
0.0000 0.0000 0.0000
0.0000 0.5000 0.0000
0.0000 0.0000 0.5000
0.5000 0.0000 0.0000
```

3.
# Y4ScNi

A PBEsol-optimized structure of Y4ScNi (meta-GGA SCAN, Alexandria via LeMat-Bulk).

- Energy relative to the elements: 0.71 eV/atom
- Raw total energy: -22.9227 eV per atom
- Total moment: 0.0 μB per cell

Geometry as POSCAR:
```
Y4ScNi
1.0
6.1164 0.0000 0.0000
3.0582 5.2969 0.0000
3.0582 1.7656 4.9940
Ni Sc Y
1 1 4
Direct
0.7500 0.7500 0.7500
0.0000 0.0000 0.0000
0.3751 0.3751 0.3751
0.3751 0.3751 0.8747
0.8747 0.3751 0.3751
0.3751 0.8747 0.3751
```

4.
# YScNi2

A PBEsol-optimized structure of YScNi2 (meta-GGA SCAN, Alexandria via LeMat-Bulk).

- Energy relative to the elements: -0.44 eV/atom
- Raw total energy: -19.0514 eV per atom
- Total moment: 0.0 μB per cell

Geometry as POSCAR:
```
YScNi2
1.0
-0.0433 3.2141 -1.3788
-3.3192 0.9320 2.2767
2.9132 -0.0356 4.2617
Y Ni Sc
1 2 1
Direct
0.7691 0.5000 0.5381
0.0481 0.5000 0.0962
0.1936 0.0000 0.3872
0.4892 0.0000 0.9785
```

5.
# Y2ScNi

A PBEsol-optimized structure of Y2ScNi (meta-GGA SCAN, Alexandria via LeMat-Bulk).

- Energy relative to the elements: 0.12 eV/atom
- Raw total energy: -21.4073 eV per atom
- Energy relative to the lowest polymorph listed for this composition: 28.9 kJ/mol of atoms
- Total moment: 1.2 μB per cell

Geometry as POSCAR:
```
Y2ScNi
1.0
-4.4666 -2.2482 0.3430
-0.3634 -4.5490 2.0729
-2.1931 -0.5476 4.4736
Ni Sc Y
1 1 2
Direct
0.5000 0.5000 0.5000
0.0000 0.0000 0.0000
0.2500 0.2500 0.2500
0.7500 0.7500 0.7500
```

6.
# Y2ScNi

A PBEsol-optimized structure of Y2ScNi (meta-GGA SCAN, Alexandria via LeMat-Bulk).

- Energy relative to the elements: -0.16 eV/atom
- Raw total energy: -21.6879 eV per atom
- Energy relative to the lowest polymorph listed for this composition: 1.8 kJ/mol of atoms
- Total moment: 0.0 μB per cell

Geometry as POSCAR:
```
Y2ScNi
1.0
-0.5427 1.9086 2.6539
-0.3012 -2.7079 1.8859
8.1613 0.1695 1.5470
Y Ni Sc
2 1 1
Direct
0.0000 0.0000 0.9833
0.5000 0.5000 0.3127
0.0000 0.0000 0.5218
0.5000 0.5000 0.6821
```

7.
# YScNi

A PBEsol-optimized structure of YScNi (meta-GGA SCAN, Alexandria via LeMat-Bulk).

- Energy relative to the elements: 0.54 eV/atom
- Raw total energy: -18.8752 eV per atom
- Energy relative to the lowest polymorph listed for this composition: 79.1 kJ/mol of atoms
- Total moment: 0.0 μB per cell

Geometry as POSCAR:
```
YScNi
1.0
4.4405 0.0000 0.0000
2.2203 3.8456 0.0000
2.2203 1.2819 3.6257
Ni Sc Y
1 1 1
Direct
0.5000 0.5000 0.5000
0.2500 0.2500 0.2500
0.0000 0.0000 0.0000
```

8.
# YScNi

A PBEsol-optimized structure of YScNi (meta-GGA SCAN, Alexandria via LeMat-Bulk).

- Energy relative to the elements: -0.10 eV/atom
- Raw total energy: -19.5219 eV per atom
- Energy relative to the lowest polymorph listed for this composition: 16.7 kJ/mol of atoms
- Total moment: 0.0 μB per cell

Geometry as POSCAR:
```
YScNi
1.0
-1.4795 -3.6248 0.3592
3.4225 -1.1687 2.3036
-3.4581 1.6059 1.9618
Ni Sc Y
1 1 1
Direct
0.9186 0.0000 0.0000
0.7861 0.6667 0.3333
0.2952 0.3333 0.6667
```

9.
# Y2ScNi

A PBEsol-optimized structure of Y2ScNi (meta-GGA SCAN, Alexandria via LeMat-Bulk).

- Energy relative to the elements: -0.18 eV/atom
- Raw total energy: -21.7069 eV per atom
- Energy relative to the lowest polymorph listed for this composition: 0.0 kJ/mol of atoms
- Total moment: 0.0 μB per cell

Geometry as POSCAR:
```
Y2ScNi
1.0
3.4277 0.0000 0.0000
0.0000 5.0699 0.0000
-1.7138 -2.5349 5.2608
Y Ni Sc
2 1 1
Direct
0.0010 0.5010 0.0021
0.2010 0.2010 0.4020
0.4904 0.9904 0.9809
0.8075 0.8075 0.6151
```

10.
# Y2ScNi2

A PBEsol-optimized structure of Y2ScNi2 (meta-GGA SCAN, Alexandria via LeMat-Bulk).

- Energy relative to the elements: -0.10 eV/atom
- Raw total energy: -20.5568 eV per atom
- Energy relative to the lowest polymorph listed for this composition: 23.2 kJ/mol of atoms
- Total moment: 0.0 μB per cell

Geometry as POSCAR:
```
Y2ScNi2
1.0
-1.1891 -4.5249 2.2612
-1.1236 0.6871 -5.1867
2.8358 -2.5198 -3.5511
Y Ni Sc
2 2 1
Direct
0.7500 0.5000 0.7500
0.2500 0.5000 0.2500
0.6482 0.2964 0.3518
0.3518 0.7036 0.6482
0.0000 0.0000 0.0000
```

11.
# Y2ScNi2

A PBEsol-optimized structure of Y2ScNi2 (meta-GGA SCAN, Alexandria via LeMat-Bulk).

- Energy relative to the elements: -0.34 eV/atom
- Raw total energy: -20.7973 eV per atom
- Energy relative to the lowest polymorph listed for this composition: 0.0 kJ/mol of atoms
- Total moment: 0.0 μB per cell

Geometry as POSCAR:
```
Y2ScNi2
1.0
-2.5731 -2.5003 1.4982
3.4448 0.2018 6.2531
-4.0990 5.4657 2.0817
Y Ni Sc
4 4 2
Direct
0.5000 0.1722 0.6722
0.5000 0.6722 0.8278
0.5000 0.8278 0.3278
0.5000 0.3278 0.1722
0.0000 0.3765 0.8765
0.0000 0.8765 0.6235
0.0000 0.6235 0.1235
0.0000 0.1235 0.3765
0.0000 0.0000 0.0000
0.0000 0.5000 0.5000
```

12.
# YScNi

A PBEsol-optimized structure of YScNi (meta-GGA SCAN, Alexandria via LeMat-Bulk).

- Energy relative to the elements: -0.28 eV/atom
- Raw total energy: -19.6951 eV per atom
- Energy relative to the lowest polymorph listed for this composition: 0.0 kJ/mol of atoms
- Total moment: 0.0 μB per cell

Geometry as POSCAR:
```
YScNi
1.0
3.2550 0.0000 0.0000
0.0000 3.2550 0.0000
-1.6275 -1.6275 5.8261
Y Ni Sc
1 1 1
Direct
0.6395 0.6395 0.2790
0.9880 0.9880 0.9759
0.3725 0.3725 0.7450
```